[1]
This record from the Open Quantum Materials Database describes a geometry-optimized Zr6Co23 structure. The functional is PBE.

Cell: 11.438 11.438 11.438 Å, 90.00 90.00 90.00°
Space group Fm-3m (No. 225)
One atom of each set of equivalent atoms:
1 Zr 0.000 0.000 0.210 x24
2 Co 0.000 0.000 0.500 x4
3 Co 0.000 0.250 0.250 x24
4 Co 0.121 0.121 0.379 x32
5 Co 0.175 0.175 0.175 x32

Output
- crystal system = cubic
- energy of formation (eV/f.u.) = -3.78

---

[2]
This record from the Open Quantum Materials Database describes a geometry-optimized YLu2Be structure. The functional is PBE.

Cell: 7.316 7.316 7.316 Å, 90.00 90.00 90.00°
Space group F-43m (No. 216)
One atom of each set of equivalent atoms:
1 Y 0.000 0.000 0.000 x4
2 Lu 0.000 0.000 0.500 x4
3 Lu 0.250 0.250 0.250 x4
4 Be 0.250 0.250 0.750 x4

Output
- crystal system = cubic
- calculated total energy (eV per atom) = -4.499

---

[3]
This record from the Open Quantum Materials Database describes a geometry-optimized NdNi2Sn structure. The functional is PBE.

Cell: 5.008 22.072 3.045 Å, 90.00 90.00 90.00°
Space group Cmmm (No. 65)
One atom of each set of equivalent atoms:
1 Nd 0.000 0.082 0.000 x4
2 Ni 0.000 0.211 0.000 x4
3 Ni 0.000 0.446 0.000 x4
4 Sn 0.000 0.326 0.000 x4

Output
- crystal system = orthorhombic
- calculated total energy (eV per atom) = -4.716

---

- Which formula does entry 2 have?
  YLu2Be